ThAs2Pb: relaxed, GGA-PBE.

extended XYZ file:
```
4
Lattice="-0.732 3.810 0.644 -1.588 0.485 -4.667 -4.601 -1.129 1.448" Properties=species:S:1:pos:R:3 pbc="T T T"
Pb -3.460 1.583 -1.287
As -2.300 -0.564 0.724
As -0.794 0.242 -2.334
Th -0.366 1.905 0.322
```

Results
For the distance to the lowest polymorph of the same formula, the calculation gives 36 meV per atom. The space-group type is No. 123. The value obtained for the calculated formation energy is -0.629 eV per atom.